(1)
# Pm2NdTh, optimized geometry, DFT PBE
# E_tot: -5.40 eV/atom
# calculated volume: 271.5 Å³ per cell
data_Pm2NdTh
_chemical_formula_sum 'Pm4 Nd2 Th2'
_cell_length_a 3.6397
_cell_length_b 3.6397
_cell_length_c 23.6634
_cell_angle_alpha 90.00
_cell_angle_beta 90.00
_cell_angle_gamma 120.00
_space_group_name_H-M_alt 'P 63/m m c'
_space_group_IT_number 194
_space_group_name_Hall '-P 6c 2c'
loop_
_atom_site_label
_atom_site_type_symbol
_atom_site_fract_x
_atom_site_fract_y
_atom_site_fract_z
Pm1 Pm 0.3333 0.6667 0.1215
Nd1 Nd 0.3333 0.6667 0.7500
Th1 Th 0.0000 0.0000 0.0000

***

(2)
# PmNd5Th, optimized geometry, DFT PBE
# E_tot: -4.82 eV/atom
# calculated volume: 262.1 Å³ per cell
data_PmNd5Th
_chemical_formula_sum 'Pm1 Nd5 Th1'
_cell_length_a 5.7842
_cell_length_b 5.7842
_cell_length_c 7.8336
_cell_angle_alpha 90.00
_cell_angle_beta 90.00
_cell_angle_gamma 90.00
_space_group_name_H-M_alt 'P 4/m m m'
_space_group_IT_number 123
_space_group_name_Hall '-P 4 2'
loop_
_atom_site_label
_atom_site_type_symbol
_atom_site_fract_x
_atom_site_fract_y
_atom_site_fract_z
Pm1 Pm 0.0000 0.0000 0.0000
Nd1 Nd 0.0000 0.5000 0.2811
Nd2 Nd 0.5000 0.5000 0.0000
Th1 Th 0.0000 0.0000 0.5000